Entry 1:
Y2Tl3ZnS6 after structural relaxation, computed with PBE.

The value obtained for the uncorrected formation energy is -1.045 eV per atom. The value obtained for the density of states at the Fermi level is 0.494 states/eV per atom. The density is 5.87 g/cm3. The calculation puts the total DFT energy (no corrections) at -0.359 Ry/atom.

The structure belongs to space group C2/m (No. 12); the cell edges are 6.914, 11.877 and 7.602 Å and the angles 90.00°, 108.13° and 90.00°. The distinct sites, in fractional coordinates, are Y at (0.000, 0.166, 0.000), Tl at (0.000, 0.000, 0.500), Tl at (0.000, 0.329, 0.500), Zn at (0.000, 0.500, 0.000), S at (0.224, 0.342, 0.195) and S at (0.241, 0.000, 0.210).



Entry 2:
ZrMo4 after structural relaxation, computed with PBE.

The calculation puts the energy above the lowest structure with this stoichiometry at 0.00 eV/f.u. The value obtained for the formation energy from the elements is -0.2 eV/f.u. The value obtained for the density of states at the Fermi level is 0.462 states/eV per atom. The density is 9.36 g/cm3. The calculation puts the total DFT energy (no corrections) at -0.765 Ry/atom.

The structure belongs to space group I4/m (No. 87); the cell edges are 7.253, 7.253 and 3.204 Å and the angles 90.00°, 90.00° and 90.00°. The distinct sites, in fractional coordinates, are Zr at (0.000, 0.000, 0.000) and Mo at (0.102, 0.691, 0.500).



Entry 3:
TlAg2ICl after structural relaxation, computed with PBE.

The value obtained for the uncorrected formation energy is 0.020 eV per atom. The value obtained for the density of states at the Fermi level is 0.298 states/eV per atom. The density is 4.76 g/cm3. The calculation puts the total DFT energy (no corrections) at -0.167 Ry/atom.

The structure belongs to space group P4/mmm (No. 123); the cell edges are 5.007, 5.007 and 8.110 Å and the angles 90.00°, 90.00° and 90.00°. The distinct sites, in fractional coordinates, are Tl at (0.000, 0.000, 0.000), Ag at (0.000, 0.500, 0.500), I at (0.500, 0.500, 0.000) and Cl at (0.500, 0.500, 0.500).



Entry 4:
Sm7Zn4In after structural relaxation, computed with PBE.

The value obtained for the formation energy from the elements is -1.5 eV/f.u. The value obtained for the density of states at the Fermi level is 0.979 states/eV per atom. The density is 7.29 g/cm3. The calculation puts the total DFT energy (no corrections) at -0.259 Ry/atom.

The structure belongs to space group C2/m (No. 12); the cell edges are 14.138, 5.818 and 9.150 Å and the angles 90.00°, 120.08° and 90.00°. The distinct sites, in fractional coordinates, are Sm at (0.000, 0.000, 0.000), Sm at (0.075, 0.500, 0.405), Sm at (0.187, 0.500, 0.879), Sm at (0.225, 0.000, 0.685), Zn at (0.015, 0.000, 0.673), Zn at (0.187, 0.000, 0.338) and In at (0.000, 0.500, 0.000).



Entry 5:
ZrPtCl3 after structural relaxation, computed with PBE.

The calculation puts the energy above the lowest structure with this stoichiometry at 2.26 eV/f.u. The value obtained for the uncorrected formation energy is 0.174 eV per atom. The value obtained for the density of states at the Fermi level is 0.770 states/eV per atom. The density is 5.46 g/cm3. The calculation puts the total DFT energy (no corrections) at -0.283 Ry/atom.

The structure belongs to space group Pm-3m (No. 221); the cell edges are 4.925, 4.925 and 4.925 Å and the angles 90.00°, 90.00° and 90.00°. The distinct sites, in fractional coordinates, are Zr at (0.000, 0.000, 0.000), Pt at (0.500, 0.500, 0.500) and Cl at (0.000, 0.500, 0.500).



Entry 6:
TiV3Os after structural relaxation, computed with PBE.

The calculation puts the energy above the lowest structure with this stoichiometry at 5.27 eV/f.u. The value obtained for the formation energy from the elements is 5.1 eV/f.u. The value obtained for the density of states at the Fermi level is 1.886 states/eV per atom. The density is 6.76 g/cm3. The calculation puts the total DFT energy (no corrections) at -0.609 Ry/atom.

The structure belongs to space group Pm-3m (No. 221); the cell edges are 4.580, 4.580 and 4.580 Å and the angles 90.00°, 90.00° and 90.00°. The distinct sites, in fractional coordinates, are Ti at (0.000, 0.000, 0.000), V at (0.000, 0.500, 0.500) and Os at (0.500, 0.500, 0.500).



Entry 7:
K2U2TlO7 after structural relaxation, computed with PBE.

The value obtained for the uncorrected formation energy is -2.594 eV per atom. The value obtained for the density of states at the Fermi level is 0.572 states/eV per atom. The density is 6.87 g/cm3. The calculation puts the total DFT energy (no corrections) at -0.569 Ry/atom.

The structure belongs to space group I4/mmm (No. 139); the cell edges are 4.352, 4.352 and 22.224 Å and the angles 90.00°, 90.00° and 90.00°. The distinct sites, in fractional coordinates, are K at (0.000, 0.000, 0.192), U at (0.000, 0.000, 0.402), Tl at (0.000, 0.000, 0.000), O at (0.000, 0.000, 0.314), O at (0.000, 0.000, 0.500) and O at (0.000, 0.500, 0.098).



Entry 8:
Nd4YN5 after structural relaxation, computed with PBE.

The value obtained for the uncorrected formation energy is -1.412 eV per atom. The value obtained for the density of states at the Fermi level is 0.085 states/eV per atom. The density is 7.27 g/cm3. The calculation puts the total DFT energy (no corrections) at -0.597 Ry/atom.

The structure belongs to space group I4 (No. 79); the cell edges are 8.074, 8.074 and 5.155 Å and the angles 90.00°, 90.00° and 90.00°. The distinct sites, in fractional coordinates, are Nd at (0.101, 0.701, 0.000), Y at (0.000, 0.000, 0.504), N at (0.000, 0.000, 0.972) and N at (0.098, 0.706, 0.485).



Which formula does entry 1 have? Y2Tl3ZnS6



total DFT energy (no corrections) of number 1 (Y2Tl3ZnS6)? -0.359 Ry/atom



density of number 4 (Sm7Zn4In)? 7.29 g/cm3